Computed, not measured: a relaxed structure of GaNi2As at the PBE level of DFT.

## Properties
symmetry: P2_1/c, No. 14
formation energy: -1.37 eV per formula unit

Lattice parameters (Å, degrees): 5.3558 5.8061 7.1212 90.00 89.78 90.00
Fractional coordinates of all 16 atoms:
Ga 0.6935 0.1075 0.6203
Ga 0.1935 0.3925 0.6203
Ga 0.3065 0.8925 0.3797
Ga 0.8065 0.6075 0.3797
Ni 0.5078 0.6944 0.1085
Ni 0.0078 0.8056 0.1085
Ni 0.9940 0.1871 0.3621
Ni 0.9922 0.1944 0.8915
Ni 0.0060 0.8129 0.6379
Ni 0.5060 0.6871 0.6379
Ni 0.4922 0.3056 0.8915
Ni 0.4940 0.3129 0.3621
As 0.1889 0.4228 0.1344
As 0.3111 0.9228 0.8656
As 0.6889 0.0772 0.1344
As 0.8111 0.5772 0.8656

Computed, not measured: a relaxed structure of Li2Hf3Pd8 at the PBE level of DFT.

## Properties
symmetry: R-3m, No. 166
formation energy: -5.62 eV per formula unit

Lattice parameters (Å, degrees): 5.3508 5.3508 9.3945 73.45 73.45 60.00
Fractional coordinates of all 13 atoms:
Li 0.6314 0.6314 0.1057
Li 0.3686 0.3686 0.8943
Hf 0.0000 0.0000 0.0000
Hf 0.8091 0.8091 0.5728
Hf 0.1909 0.1909 0.4272
Pd 0.7137 0.7137 0.8590
Pd 0.2863 0.2863 0.1410
Pd 0.2272 0.7289 0.3149
Pd 0.7289 0.2272 0.3149
Pd 0.7289 0.7289 0.3149
Pd 0.2711 0.7728 0.6851
Pd 0.7728 0.2711 0.6851
Pd 0.2711 0.2711 0.6851

Computed, not measured: a relaxed structure of Zn4Cu5Ni2 at the PBE level of DFT.

## Properties
symmetry: Fmmm, No. 69
formation energy: 1.75 eV per formula unit

Lattice parameters (Å, degrees): 4.9057 4.9093 8.6556 81.86 73.54 60.02
Fractional coordinates of all 11 atoms:
Zn 0.7852 0.6843 0.7453
Zn 0.2148 0.3157 0.2547
Zn 0.5305 0.6843 0.2547
Zn 0.4695 0.3157 0.7453
Cu 0.5000 0.0000 0.0000
Cu 0.0000 0.5000 0.0000
Cu 0.5000 0.5000 0.0000
Cu 0.2500 0.5000 0.5000
Cu 0.7500 0.5000 0.5000
Ni 0.7545 0.0000 0.4910
Ni 0.2455 0.0000 0.5090

Ordered Fermi-level density of states results: 5.20, 5.20, 5.40; unit states/eV/cell.
Ordered density results: 7.9, 10.6, 6.7; unit Mg/m³.